# 1
Mn2P2O9 | meta-GGA SCAN | single point on PBEsol structure

## Properties
* raw formation energy: -2.2038 eV per atom
* mass density: 3.39 g/cm3

a = 13.5552 Å, b = 6.0789 Å, c = 7.5200 Å
α = 90.00°, β = 90.00°, γ = 90.00°
With the nearest neighbours (Å) after each atom.
Space group Pnma (No. 62)
Symmetry-distinct sites (fractional):
Mn 0.0000 0.0000 0.0000 [4 per cell]  6 O 1.85-1.96
Mn 0.1237 0.2500 0.3480 [4 per cell]  6 O 1.83-1.94
P 0.0610 0.7500 0.3520 [4 per cell]  4 O 1.50-1.61
P 0.1949 0.7500 0.9157 [4 per cell]  4 O 1.54-1.56
O 0.0027 0.7500 0.1650 [4 per cell]  1 P 1.61
O 0.0121 0.2500 0.4977 [4 per cell]  1 P 1.50
O 0.0355 0.2500 0.1452 [4 per cell]  3 Mn 1.93-1.94
O 0.1286 0.5516 0.3448 [8 per cell]  1 P 1.52
O 0.1312 0.5422 0.9401 [8 per cell]  1 P 1.54
O 0.2136 0.2500 0.5415 [4 per cell]  1 P 1.56
O 0.2482 0.2500 0.2348 [4 per cell]  1 P 1.56

***

# 2
HgTeHI2 | meta-GGA SCAN | single point on PBEsol structure

## Properties
* total DFT energy (no corrections): -36.072 eV per atom
* mass density: 7.74 g/cm3

a = 5.6926 Å, b = 5.6926 Å, c = 3.8583 Å
α = 90.00°, β = 90.00°, γ = 90.00°
With the nearest neighbours (Å) after each atom.
Space group P4/mmm (No. 123)
Symmetry-distinct sites (fractional):
Hg 0.0000 0.0000 0.0000 [1 per cell]  8 I 3.44
Te 0.5000 0.5000 0.0000 [1 per cell]  2 H 1.93
H 0.5000 0.5000 0.5000 [1 per cell]  2 Te 1.93
I 0.0000 0.5000 0.5000 [2 per cell]  2 H 2.85

***

# 3
Co2PtW | meta-GGA SCAN | single point on PBEsol structure

## Properties
* energy of formation: -0.002 eV per atom
* relative energy among the computed polymorphs: 0.1165 eV per atom
* mass density: 16.45 g/cm3

a = 3.7593 Å, b = 3.7593 Å, c = 7.0959 Å
α = 90.00°, β = 90.00°, γ = 90.00°
With the nearest neighbours (Å) after each atom.
Space group I4/mmm (No. 139)
Symmetry-distinct sites (fractional):
Co 0.0000 0.5000 0.2500 [4 per cell]  4 W 2.58, 4 Pt 2.58, 4 Co 2.66
Pt 0.0000 0.0000 0.0000 [2 per cell]  8 Co 2.58, 4 W 2.66
W 0.0000 0.0000 0.5000 [2 per cell]  8 Co 2.58, 4 Pt 2.66

***

> mass density of number 3 (Co2PtW)?

16.45 g/cm3